No. 1
Compound: LuRe2Ni
Source: OQMD via LeMat-Bulk
Functional: PBE
Structure: optimized geometry

Lattice parameters (Å, degrees): 4.4570 4.4570 4.4570 60.00 60.00 60.00
Each line ends with the local moment (μB).
Fractional positions:
Ni  0.7500  0.7500  0.7500  0.22
Lu  0.5000  0.5000  0.5000  0.01
Re  0.2500  0.2500  0.2500  0.01
Re  0.0000  0.0000  0.0000  0.26

Properties
Its space-group type is F-43m (216). As for the mass density: 16.08 g/cm³. The calculation puts the total magnetization at 0.529 μB per cell. Its formation energy is 7.6 kJ/mol of atoms.


No. 2
Compound: Lu2ReNi
Source: OQMD via LeMat-Bulk
Functional: PBE
Structure: optimized geometry

Lattice parameters (Å, degrees): 4.6671 4.6671 4.6671 60.00 60.00 60.00
Fractional positions:
Ni  0.2500  0.2500  0.2500
Re  0.5000  0.5000  0.5000
Lu  0.0000  0.0000  0.0000
Lu  0.7500  0.7500  0.7500

Properties
Its space-group type is F-43m (216). As for the mass density: 13.74 g/cm³. The calculation puts the total magnetization at 0.706 μB per cell. Its formation energy is 30.4 kJ/mol of atoms.


No. 3
Compound: LuRe2Ni
Source: OQMD via LeMat-Bulk
Functional: PBE
Structure: optimized geometry

Lattice parameters (Å, degrees): 4.4545 4.4545 4.4545 60.00 60.00 60.00
Each line ends with the local moment (μB).
Fractional positions:
Re  0.5000  0.5000  0.5000  0.01
Re  0.7500  0.7500  0.7500  0.26
Ni  0.0000  0.0000  0.0000  0.22
Lu  0.2500  0.2500  0.2500  0.01

Properties
Its space-group type is F-43m (216). As for the mass density: 16.10 g/cm³. The calculation puts the total magnetization at 0.525 μB per cell. Its formation energy is 7.6 kJ/mol of atoms.


No. 4
Compound: LuReSiNi
Source: OQMD via LeMat-Bulk
Functional: PBE
Structure: optimized geometry

Lattice parameters (Å, degrees): 4.4994 4.4994 4.4994 60.00 60.00 60.00
Fractional positions:
Si  0.0000  0.0000  0.0000
Re  0.5000  0.5000  0.5000
Ni  0.7500  0.7500  0.7500
Lu  0.2500  0.2500  0.2500

Properties
Its space-group type is F-43m (216). As for the mass density: 11.55 g/cm³. The calculation puts the total magnetization at 1.001 μB per cell. The value obtained for the total energy is -26.2 eV per cell.


No. 5
Compound: LuReNiSn
Source: OQMD via LeMat-Bulk
Functional: PBE
Structure: optimized geometry

Lattice parameters (Å, degrees): 4.6732 4.6732 4.6732 60.00 60.00 60.00
Fractional positions:
Lu  0.2500  0.2500  0.2500
Ni  0.7500  0.7500  0.7500
Sn  0.0000  0.0000  0.0000
Re  0.5000  0.5000  0.5000

Properties
Its space-group type is F-43m (216). As for the mass density: 12.39 g/cm³. The calculation puts the total magnetization at 0.666 μB per cell. The value obtained for the total energy is -24.7 eV per cell.


No. 6
Compound: LuTlReNi
Source: OQMD via LeMat-Bulk
Functional: PBE
Structure: optimized geometry

Lattice parameters (Å, degrees): 4.6947 4.6947 4.6947 60.00 60.00 60.00
Fractional positions:
Tl  0.0000  0.0000  0.0000
Lu  0.2500  0.2500  0.2500
Re  0.5000  0.5000  0.5000
Ni  0.7500  0.7500  0.7500

Properties
Its space-group type is F-43m (216). As for the mass density: 14.17 g/cm³. The calculation puts the total magnetization at 1.373 μB per cell. The value obtained for the total energy is -22.4 eV per cell.


No. 7
Compound: YTm2Lu4Ni2S2
Source: OQMD via LeMat-Bulk
Functional: PBE
Structure: optimized geometry

Lattice parameters (Å, degrees): 8.7570 8.7570 8.7570 155.55 67.55 118.13
Fractional positions:
S  0.1439  0.1439  0.0000
Lu  0.1030  0.7386  0.3644
Ni  0.6428  0.4034  0.2394
Ni  0.1639  0.4034  0.7606
Lu  0.4155  0.1012  0.3143
S  0.7389  0.2389  0.5000
Lu  0.3742  0.7386  0.6356
Tm  0.7734  0.8939  0.8795
Lu  0.7869  0.1012  0.6857
Tm  0.0144  0.8939  0.1205
Y  0.4892  0.4892  0.0000

Properties
Its space-group type is Imm2 (44). As for the mass density: 8.94 g/cm³. The calculation puts the total magnetization at 0.004 μB per cell. The value obtained for the total energy is -62.5 eV per cell.


No. 8
Compound: Y3Lu4Ni2S2
Source: OQMD via LeMat-Bulk
Functional: PBE
Structure: optimized geometry

Lattice parameters (Å, degrees): 8.8109 8.8109 8.8109 155.48 67.26 118.47
Fractional positions:
Y  0.0996  0.7355  0.3641
Y  0.3714  0.7355  0.6359
Ni  0.6518  0.4081  0.2437
Ni  0.1643  0.4081  0.7563
Lu  0.0123  0.8918  0.1206
S  0.7423  0.2423  0.5000
Lu  0.7712  0.8918  0.8794
Lu  0.7860  0.1012  0.6848
Y  0.4934  0.4934  0.0000
S  0.1373  0.1373  0.0000
Lu  0.4164  0.1012  0.3152

Properties
Its space-group type is Imm2 (44). As for the mass density: 7.70 g/cm³. The calculation puts the total magnetization at 0.011 μB per cell. The value obtained for the total energy is -66.5 eV per cell.


No. 9
Compound: LuNiSb
Source: OQMD via LeMat-Bulk
Functional: PBE
Structure: optimized geometry

Lattice parameters (Å, degrees): 6.9172 6.9172 4.2482 90.00 90.00 120.00
Fractional positions:
Ni  0.0000  0.2482  0.5000
Ni  0.7518  0.7518  0.5000
Sb  0.6667  0.3333  0.5000
Lu  0.4289  0.4289  0.0000
Sb  0.3333  0.6667  0.5000
Sb  0.0000  0.0000  0.0000
Ni  0.2482  0.0000  0.5000
Lu  0.0000  0.5711  0.0000
Lu  0.5711  0.0000  0.0000

Properties
Its space-group type is P-62m (189). As for the mass density: 10.06 g/cm³. The calculation puts the total magnetization at 0.000 μB per cell. The value obtained for the total energy is -48.8 eV per cell.


No. 10
Compound: LuNi2Sb
Source: OQMD via LeMat-Bulk
Functional: PBE
Structure: optimized geometry

Lattice parameters (Å, degrees): 4.5951 4.5951 4.5951 60.00 60.00 60.00
Fractional positions:
Ni  0.7500  0.7500  0.7500
Ni  0.0000  0.0000  0.0000
Lu  0.2500  0.2500  0.2500
Sb  0.5000  0.5000  0.5000

Properties
Its space-group type is F-43m (216). As for the mass density: 10.02 g/cm³. The calculation puts the total magnetization at 0.003 μB per cell. The value obtained for the total energy is -20.5 eV per cell.


No. 11
Compound: Lu2NiSb
Source: OQMD via LeMat-Bulk
Functional: PBE
Structure: optimized geometry

Lattice parameters (Å, degrees): 4.9881 4.9881 4.9881 60.00 60.00 60.00
Fractional positions:
Ni  0.2500  0.2500  0.2500
Lu  0.7500  0.7500  0.7500
Lu  0.0000  0.0000  0.0000
Sb  0.5000  0.5000  0.5000

Properties
Its space-group type is F-43m (216). As for the mass density: 10.04 g/cm³. The calculation puts the total magnetization at 0.013 μB per cell. The value obtained for the total energy is -18.9 eV per cell.


No. 12
Compound: LuNiSb
Source: OQMD via LeMat-Bulk
Functional: PBE
Structure: optimized geometry

Lattice parameters (Å, degrees): 7.1103 7.1103 4.0182 90.00 90.00 120.00
Fractional positions:
Ni  0.6667  0.3333  0.0000
Ni  0.3333  0.6667  0.0000
Sb  0.7226  0.7226  0.0000
Lu  0.6108  0.0000  0.5000
Ni  0.0000  0.0000  0.5000
Sb  0.2774  0.0000  0.0000
Lu  0.3892  0.3892  0.5000
Sb  0.0000  0.2774  0.0000
Lu  0.0000  0.6108  0.5000

Properties
Its space-group type is P-62m (189). As for the mass density: 10.06 g/cm³. The calculation puts the total magnetization at 0.006 μB per cell. The value obtained for the total energy is -49.2 eV per cell.